A plane-wave DFT calculation with GGA-PBE was carried out for ZrSc2BeH after structural relaxation.

Lattice parameters (Å, degrees): 4.342 4.342 4.293 90.00 90.00 90.00
Sites, in units of the cell vectors:
Zr  0.000  0.000  0.000
Sc  0.000  0.500  0.500
Sc  0.500  0.000  0.500
Be  0.500  0.500  0.000
H  0.000  0.000  0.500

Computed properties:
Its space group is No. 123. The density of states at the Fermi level comes out at 1.18 states/eV per atom. Its total moment is 0.000 μB per formula unit. Its electronic total energy is -5.71 eV per atom.